Rb3Ac3MoO8 | PBE with a Hubbard U | relaxed

- uncorrected energy (eV per atom) = -6.487
- volume (Å³ per cell) = 637.28

Cell: 12.843 7.466 7.919 Å, 90.00 122.93 90.00°
Space group C2/m (No. 12)
Asymmetric unit:
Rb  0.000  0.000  0.000 [2 per cell]
Rb  0.250  0.250  0.000 [4 per cell]
Ac  0.000  0.500  0.500 [2 per cell]
Ac  0.250  0.250  0.500 [4 per cell]
Mo  0.000  0.000  0.500 [2 per cell]
O  0.017  0.219  0.334 [8 per cell]
O  0.197  0.000  0.665 [4 per cell]
O  0.230  0.500  0.688 [4 per cell]